No. 1
10
Lattice="2.799 1.616 4.534 -2.799 1.616 4.534 0.000 -3.232 4.534" Properties=species:S:1:pos:R:3 comment="LaOsN3 PBE-GGA relaxed" spacegroup=R-3c formation_energy_uncorrected_ev_per_atom=-0.370 pbc="T T T"
La 0.000 0.000 3.400
La 0.000 0.000 10.201
Os 0.000 0.000 0.000
Os 0.000 0.000 6.801
N -1.523 0.595 5.667
N -1.276 -1.021 7.934
N 0.246 -1.616 5.667
N -0.246 1.616 7.934
N 1.276 1.021 5.667
N 1.523 -0.595 7.934


No. 2
5
Lattice="3.977 0.000 0.000 0.000 3.977 0.000 0.000 0.000 4.666" Properties=species:S:1:pos:R:3 comment="LaOsN3 PBE-GGA relaxed" spacegroup=P4mm formation_energy_uncorrected_ev_per_atom=0.543 pbc="T T T"
La 0.000 0.000 0.000
Os 1.989 1.989 1.958
N 0.000 0.000 2.300
N 0.000 1.989 2.013
N 1.989 0.000 2.013


No. 3
10
Lattice="4.325 0.000 0.000 -1.398 6.539 0.000 -0.149 -0.206 6.784" Properties=species:S:1:pos:R:3 comment="LaOsN3 PBE-GGA relaxed" spacegroup=P1 formation_energy_uncorrected_ev_per_atom=-0.260 pbc="T T T"
La 0.000 0.000 0.000
La 0.749 4.393 3.855
Os 0.130 3.789 0.159
Os 1.979 2.509 6.201
N -0.120 1.830 3.204
N 0.125 4.896 1.573
N 1.958 0.714 6.151
N 3.679 0.869 2.948
N 3.068 3.993 5.469
N 2.930 5.115 4.680


No. 4
18
Lattice="6.767 0.000 0.000 0.000 7.462 0.000 -6.676 0.000 9.809" Properties=species:S:1:pos:R:3 comment="La6Os2N PBE-GGA relaxed" spacegroup=P2_1/c formation_energy_uncorrected_ev_per_atom=-0.419 pbc="T T T"
La -0.819 0.414 2.375
La -4.157 3.317 7.280
La 1.130 5.137 0.652
La -2.208 6.056 5.556
La 2.127 1.229 0.605
La -1.211 2.502 5.509
La 1.303 4.960 4.300
La -2.035 6.233 9.205
La 2.300 1.406 4.253
La -1.038 2.325 9.158
La 4.248 4.145 2.530
La 0.910 7.048 7.434
Os -3.054 0.754 7.381
Os 0.284 2.977 2.477
Os -0.192 4.485 7.333
Os 3.145 6.708 2.428
N 0.000 0.000 0.000
N -3.338 3.731 4.905


No. 5
20
Lattice="4.830 0.000 0.000 0.000 10.034 0.000 0.000 0.000 6.246" Properties=species:S:1:pos:R:3 comment="LaOsN3 PBE-GGA relaxed" spacegroup=Pnma formation_energy_uncorrected_ev_per_atom=-0.256 pbc="T T T"
La 0.000 0.000 0.000
La 0.000 5.017 0.000
La 2.415 0.000 3.123
La 2.415 5.017 3.123
Os 0.175 2.509 2.913
Os 2.240 7.526 6.036
Os 2.590 2.509 0.210
Os 4.655 7.526 3.333
N 0.026 1.014 3.878
N 0.026 4.003 3.878
N 0.486 7.526 5.244
N 1.929 2.509 2.121
N 2.389 6.031 0.755
N 2.389 9.021 0.755
N 2.441 1.014 5.491
N 2.441 4.003 5.491
N 2.901 7.526 4.125
N 4.344 2.509 1.002
N 4.804 6.031 2.368
N 4.804 9.021 2.368


No. 6
5
Lattice="3.931 0.000 0.000 0.000 3.931 0.000 0.000 0.000 3.931" Properties=species:S:1:pos:R:3 comment="LaOsN3 PBE-GGA relaxed" spacegroup=Pm-3m formation_energy_uncorrected_ev_per_atom=-0.357 pbc="T T T"
La 0.000 0.000 0.000
Os 1.965 1.965 1.965
N 0.000 1.965 1.965
N 1.965 0.000 1.965
N 1.965 1.965 0.000


No. 7
5
Lattice="4.948 0.000 0.000 0.000 4.948 0.000 0.000 0.000 4.948" Properties=species:S:1:pos:R:3 comment="La3OsN PBE-GGA relaxed" spacegroup=Pm-3m formation_energy_uncorrected_ev_per_atom=-0.342 polymorph_energy_mev_per_atom=0 pbc="T T T"
La 0.000 0.000 2.474
La 0.000 2.474 0.000
La 2.474 0.000 0.000
Os 2.474 2.474 2.474
N 0.000 0.000 0.000


No. 8
20
Lattice="0.000 5.183 5.183 5.183 0.000 5.183 5.183 5.183 0.000" Properties=species:S:1:pos:R:3 comment="LaOsN3 PBE-GGA relaxed" spacegroup=Fd-3m formation_energy_uncorrected_ev_per_atom=0.013 pbc="T T T"
La 0.000 0.000 0.000
La 2.591 2.591 0.000
La 2.591 0.000 2.591
La 0.000 2.591 2.591
Os 5.183 2.591 2.591
Os 2.591 5.183 2.591
Os 2.591 2.591 5.183
Os 5.183 5.183 5.183
N 3.887 3.887 1.837
N 3.887 1.837 3.887
N 5.937 3.887 3.887
N 6.479 6.479 4.428
N 6.479 4.428 6.479
N 8.529 6.479 6.479
N 1.837 3.887 3.887
N 3.887 5.937 3.887
N 3.887 3.887 5.937
N 4.428 6.479 6.479
N 6.479 8.529 6.479
N 6.479 6.479 8.529


No. 9
5
Lattice="3.434 0.000 0.000 0.000 3.790 0.000 0.000 0.000 4.901" Properties=species:S:1:pos:R:3 comment="LaOsN3 PBE-GGA relaxed" spacegroup=Pmm2 formation_energy_uncorrected_ev_per_atom=-0.196 pbc="T T T"
La 0.000 0.000 0.000
Os 1.717 1.895 2.279
N 0.000 0.693 2.413
N 0.000 3.096 2.413
N 1.717 1.895 0.268


No. 10
10
Lattice="4.105 0.000 0.000 0.000 6.088 0.000 -0.105 0.000 7.556" Properties=species:S:1:pos:R:3 comment="LaOsN3 PBE-GGA relaxed" spacegroup=P2_1/m formation_energy_uncorrected_ev_per_atom=-0.290 pbc="T T T"
La 0.973 1.522 2.568
La 3.027 4.566 4.988
Os 0.969 1.522 5.938
Os 3.030 4.566 1.619
N 1.030 1.522 0.112
N 0.971 0.025 4.958
N 0.971 3.019 4.958
N 3.029 3.069 2.599
N 3.029 6.062 2.599
N 2.970 4.566 7.444


No. 11
10
Lattice="6.455 -1.934 0.000 6.455 1.934 0.000 -4.214 0.000 6.601" Properties=species:S:1:pos:R:3 comment="LaOsN3 PBE-GGA relaxed" spacegroup=Cm formation_energy_uncorrected_ev_per_atom=-0.271 pbc="T T T"
La 0.000 0.000 0.000
La 5.895 0.000 3.889
Os 2.438 0.000 3.892
Os 8.865 0.000 2.277
N -1.093 0.000 2.259
N 3.843 1.268 4.633
N 0.973 0.000 5.034
N 7.587 0.000 1.056
N 3.843 -1.268 4.633
N 10.707 0.000 1.647


No. 12
10
Lattice="4.185 0.000 0.000 -0.934 6.107 0.000 -0.103 -2.520 6.548" Properties=species:S:1:pos:R:3 comment="LaOsN3 PBE-GGA relaxed" spacegroup=P1 formation_energy_uncorrected_ev_per_atom=-0.403 pbc="T T T"
La 0.000 0.000 0.000
La 1.103 1.376 4.148
Os 1.328 3.100 0.808
Os 3.229 3.274 2.357
N 0.271 1.790 1.837
N 1.422 -0.481 5.928
N 1.108 4.778 0.018
N 3.074 -0.197 3.351
N 2.509 4.904 2.891
N 3.202 2.737 4.252